# 1
Entry from Alexandria: a relaxed Mn2SiRu crystal (PBE).

Properties
As for the formation energy from raw total energies: -0.29 eV per atom. Its crystal system is tetragonal.

Geometry as extended XYZ:
```
4
Lattice="2.9101 0.0000 0.0000 0.0000 2.9101 0.0000 0.0000 0.0000 5.7742" Properties=species:S:1:pos:R:3 pbc="T T T"
Mn 0.0000 0.0000 0.0000
Mn 1.4550 1.4550 1.3796
Si 1.4550 1.4550 4.3920
Ru 0.0000 0.0000 3.0039
```

# 2
Entry from Alexandria: a relaxed Mn2SiRu crystal (PBE).

Properties
As for the formation energy from raw total energies: -0.20 eV per atom. Its crystal system is orthorhombic.

Geometry as extended XYZ:
```
4
Lattice="2.6872 0.0000 0.0000 0.0000 4.1914 0.0000 0.0000 0.0000 4.3907" Properties=species:S:1:pos:R:3 pbc="T T T"
Mn 0.0000 0.0000 0.0000
Mn 0.0000 2.0957 1.2307
Si 1.3436 0.0000 2.0756
Ru 1.3436 2.0957 3.4146
```

# 3
Entry from Alexandria: a relaxed Mn3SiRu crystal (PBE).

Properties
As for the formation energy from raw total energies: 1.08 eV per atom. Its crystal system is cubic.

Geometry as extended XYZ:
```
5
Lattice="4.0947 0.0000 0.0000 0.0000 4.0947 0.0000 0.0000 0.0000 4.0947" Properties=species:S:1:pos:R:3 pbc="T T T"
Mn 0.0000 0.0000 2.0474
Mn 0.0000 2.0474 0.0000
Mn 2.0474 0.0000 0.0000
Si 0.0000 0.0000 0.0000
Ru 2.0474 2.0474 2.0474
```

Number 2 is which compound? Mn2SiRu